Record 1
A geometry-optimized Li2AcMg2Tl structure, computed with PBE-GGA.

CIF file:
```
data_Li2AcMg2Tl
_symmetry_space_group_name_H-M 'I 4/m m m'
_symmetry_Int_Tables_number 139
_symmetry_space_group_name_Hall '-I 4 2'
_cell_length_a 5.161
_cell_length_b 5.161
_cell_length_c 11.987
_cell_angle_alpha 90.00
_cell_angle_beta 90.00
_cell_angle_gamma 90.00
loop_
_atom_site_label
_atom_site_fract_x
_atom_site_fract_y
_atom_site_fract_z
Li1 0.000 0.000 0.210
Ac1 0.000 0.000 0.500
Mg1 0.000 0.500 0.250
Tl1 0.000 0.000 0.000
```

Calculated formation energy ... 0.052 eV per atom
Size of the total moment ... 0.00 μB/f.u.
Calculated total energy ... -2.197 eV per atom

Record 2
A geometry-optimized Li2AlAg structure, computed with PBE-GGA.

CIF file:
```
data_Li2AlAg
_symmetry_space_group_name_H-M 'P m m 2'
_symmetry_Int_Tables_number 25
_symmetry_space_group_name_Hall 'P 2 -2'
_cell_length_a 2.824
_cell_length_b 4.053
_cell_length_c 5.746
_cell_angle_alpha 90.00
_cell_angle_beta 90.00
_cell_angle_gamma 90.00
loop_
_atom_site_label
_atom_site_fract_x
_atom_site_fract_y
_atom_site_fract_z
Li1 0.000 0.000 0.000
Li2 0.500 0.500 0.257
Al1 0.500 0.500 0.743
Ag1 0.000 0.000 0.508
```

Calculated formation energy ... -0.151 eV per atom
Size of the total moment ... 0.00 μB/f.u.
Calculated total energy ... -2.756 eV per atom

Which of these has the highest calculated formation energy? Li2AcMg2Tl

Which value of calculated total energy does entry 2 give? -2.756 eV per atom